(1)
# CrCoRu2 (PBE, relaxed)
# energy above the lowest structure with this stoichiometry	0.1668	eV per atom
# DFT total energy	-8.589	eV/atom
# total magnetic moment	0.7490	μB/atom
# calculated formation energy	0.2312	eV per atom
# symmetry	Imm2
data_CrCoRu2
_chemical_formula_sum 'Cr1 Co1 Ru2'
_symmetry_space_group_name_H-M 'P 1'
_symmetry_Int_Tables_number 1
_cell_length_a 4.964
_cell_length_b 4.964
_cell_length_c 4.964
_cell_angle_alpha 146.50
_cell_angle_beta 129.83
_cell_angle_gamma 61.68
loop_
_symmetry_equiv_pos_as_xyz
'x,y,z'
loop_
_atom_site_label
_atom_site_type_symbol
_atom_site_fract_x
_atom_site_fract_y
_atom_site_fract_z
_atom_site_occupancy
Ru1 Ru 0.986 0.986 0.000 1
Co1 Co 0.516 0.516 0.000 1
Ru2 Ru 0.260 0.760 0.500 1
Cr1 Cr 0.738 0.238 0.500 1

(2)
# Cr3CoRu (PBE, relaxed)
# energy above the lowest structure with this stoichiometry	0.5609	eV per atom
# DFT total energy	-7.222	eV/atom
# total magnetic moment	0.0443	μB/atom
# calculated formation energy	1.8283	eV per atom
# symmetry	Pm-3m
data_Cr3CoRu
_chemical_formula_sum 'Cr3 Co1 Ru1'
_symmetry_space_group_name_H-M 'P 1'
_symmetry_Int_Tables_number 1
_cell_length_a 4.366
_cell_length_b 4.366
_cell_length_c 4.366
_cell_angle_alpha 90.00
_cell_angle_beta 90.00
_cell_angle_gamma 90.00
loop_
_symmetry_equiv_pos_as_xyz
'x,y,z'
loop_
_atom_site_label
_atom_site_type_symbol
_atom_site_fract_x
_atom_site_fract_y
_atom_site_fract_z
_atom_site_occupancy
Co1 Co 0.500 0.500 0.500 1
Cr1 Cr 0.000 0.000 0.500 1
Cr2 Cr 0.500 0.000 0.000 1
Cr3 Cr 0.000 0.500 0.000 1
Ru1 Ru 0.000 0.000 0.000 1

(3)
# Cr2Co2Ru (PBE, relaxed)
# DFT total energy	-8.315	eV/atom
# total magnetic moment	0.0000	μB/atom
# calculated formation energy	0.2320	eV per atom
# symmetry	P4/mbm
data_Cr2Co2Ru
_chemical_formula_sum 'Cr4 Co4 Ru2'
_symmetry_space_group_name_H-M 'P 1'
_symmetry_Int_Tables_number 1
_cell_length_a 6.818
_cell_length_b 6.818
_cell_length_c 2.537
_cell_angle_alpha 90.00
_cell_angle_beta 90.00
_cell_angle_gamma 90.00
loop_
_symmetry_equiv_pos_as_xyz
'x,y,z'
loop_
_atom_site_label
_atom_site_type_symbol
_atom_site_fract_x
_atom_site_fract_y
_atom_site_fract_z
_atom_site_occupancy
Co1 Co 0.177 0.677 0.500 1
Cr1 Cr 0.617 0.117 0.000 1
Cr2 Cr 0.383 0.883 0.000 1
Cr3 Cr 0.117 0.383 0.000 1
Co2 Co 0.677 0.823 0.500 1
Ru1 Ru 0.500 0.500 0.000 1
Co3 Co 0.823 0.323 0.500 1
Ru2 Ru 0.000 0.000 0.000 1
Cr4 Cr 0.883 0.617 0.000 1
Co4 Co 0.323 0.177 0.500 1

(4)
# CrCo3Ru (PBE, relaxed)
# energy above the lowest structure with this stoichiometry	0.0000	eV per atom
# DFT total energy	-6.740	eV/atom
# total magnetic moment	0.8404	μB/atom
# calculated formation energy	1.3033	eV per atom
# symmetry	Pm-3m
data_CrCo3Ru
_chemical_formula_sum 'Cr1 Co3 Ru1'
_symmetry_space_group_name_H-M 'P 1'
_symmetry_Int_Tables_number 1
_cell_length_a 4.123
_cell_length_b 4.123
_cell_length_c 4.123
_cell_angle_alpha 90.00
_cell_angle_beta 90.00
_cell_angle_gamma 90.00
loop_
_symmetry_equiv_pos_as_xyz
'x,y,z'
loop_
_atom_site_label
_atom_site_type_symbol
_atom_site_fract_x
_atom_site_fract_y
_atom_site_fract_z
_atom_site_occupancy
Co1 Co 0.000 0.000 0.500 1
Cr1 Cr 0.000 0.000 0.000 1
Co2 Co 0.000 0.500 0.000 1
Co3 Co 0.500 0.000 0.000 1
Ru1 Ru 0.500 0.500 0.500 1

(5)
# CrCoRu (PBE, relaxed)
# energy above the lowest structure with this stoichiometry	0.0000	eV per atom
# DFT total energy	-8.620	eV/atom
# total magnetic moment	0.0776	μB/atom
# calculated formation energy	0.0485	eV per atom
# symmetry	P2_1/m
data_CrCoRu
_chemical_formula_sum 'Cr2 Co2 Ru2'
_symmetry_space_group_name_H-M 'P 1'
_symmetry_Int_Tables_number 1
_cell_length_a 4.090
_cell_length_b 4.462
_cell_length_c 4.533
_cell_angle_alpha 119.49
_cell_angle_beta 90.00
_cell_angle_gamma 90.00
loop_
_symmetry_equiv_pos_as_xyz
'x,y,z'
loop_
_atom_site_label
_atom_site_type_symbol
_atom_site_fract_x
_atom_site_fract_y
_atom_site_fract_z
_atom_site_occupancy
Co1 Co 0.890 0.084 0.771 1
Ru1 Ru 0.390 0.112 0.118 1
Cr1 Cr 0.890 0.428 0.457 1
Cr2 Cr 0.390 0.430 0.783 1
Ru2 Ru 0.890 0.747 0.122 1
Co2 Co 0.390 0.775 0.469 1

(6)
# CrCoRu2 (PBE, relaxed)
# energy above the lowest structure with this stoichiometry	0.2745	eV per atom
# DFT total energy	-8.481	eV/atom
# total magnetic moment	0.6348	μB/atom
# calculated formation energy	0.3389	eV per atom
# symmetry	Cmmm
data_CrCoRu2
_chemical_formula_sum 'Cr1 Co1 Ru2'
_symmetry_space_group_name_H-M 'P 1'
_symmetry_Int_Tables_number 1
_cell_length_a 2.599
_cell_length_b 2.599
_cell_length_c 8.541
_cell_angle_alpha 90.00
_cell_angle_beta 90.00
_cell_angle_gamma 114.70
loop_
_symmetry_equiv_pos_as_xyz
'x,y,z'
loop_
_atom_site_label
_atom_site_type_symbol
_atom_site_fract_x
_atom_site_fract_y
_atom_site_fract_z
_atom_site_occupancy
Co1 Co 0.500 0.500 0.250 1
Cr1 Cr 0.500 0.500 0.750 1
Ru1 Ru 0.000 0.000 0.504 1
Ru2 Ru 0.000 0.000 0.996 1

(7)
# CrCoRu2 (PBE, relaxed)
# energy above the lowest structure with this stoichiometry	0.3034	eV per atom
# DFT total energy	-8.452	eV/atom
# total magnetic moment	0.3273	μB/atom
# calculated formation energy	0.3678	eV per atom
# symmetry	R3m
data_CrCoRu2
_chemical_formula_sum 'Cr1 Co1 Ru2'
_symmetry_space_group_name_H-M 'P 1'
_symmetry_Int_Tables_number 1
_cell_length_a 4.103
_cell_length_b 4.103
_cell_length_c 4.396
_cell_angle_alpha 62.18
_cell_angle_beta 62.18
_cell_angle_gamma 60.00
loop_
_symmetry_equiv_pos_as_xyz
'x,y,z'
loop_
_atom_site_label
_atom_site_type_symbol
_atom_site_fract_x
_atom_site_fract_y
_atom_site_fract_z
_atom_site_occupancy
Ru1 Ru 0.036 0.036 0.891 1
Cr1 Cr 0.714 0.714 0.858 1
Ru2 Ru 0.258 0.258 0.226 1
Co1 Co 0.492 0.492 0.525 1

(8)
# CrCoRu (PBE, relaxed)
# energy above the lowest structure with this stoichiometry	0.1258	eV per atom
# DFT total energy	-8.494	eV/atom
# total magnetic moment	0.3320	μB/atom
# calculated formation energy	0.1743	eV per atom
# symmetry	P3m1
data_CrCoRu
_chemical_formula_sum 'Cr1 Co1 Ru1'
_symmetry_space_group_name_H-M 'P 1'
_symmetry_Int_Tables_number 1
_cell_length_a 2.611
_cell_length_b 2.611
_cell_length_c 6.235
_cell_angle_alpha 90.00
_cell_angle_beta 90.00
_cell_angle_gamma 120.00
loop_
_symmetry_equiv_pos_as_xyz
'x,y,z'
loop_
_atom_site_label
_atom_site_type_symbol
_atom_site_fract_x
_atom_site_fract_y
_atom_site_fract_z
_atom_site_occupancy
Ru1 Ru 0.333 0.667 0.661 1
Co1 Co 0.000 0.000 0.012 1
Cr1 Cr 0.667 0.333 0.327 1

(9)
# CrCoRu (PBE, relaxed)
# energy above the lowest structure with this stoichiometry	0.4273	eV per atom
# DFT total energy	-8.193	eV/atom
# total magnetic moment	0.0000	μB/atom
# calculated formation energy	0.4758	eV per atom
# symmetry	F-43m
data_CrCoRu
_chemical_formula_sum 'Cr1 Co1 Ru1'
_symmetry_space_group_name_H-M 'P 1'
_symmetry_Int_Tables_number 1
_cell_length_a 3.887
_cell_length_b 3.887
_cell_length_c 3.887
_cell_angle_alpha 60.00
_cell_angle_beta 60.00
_cell_angle_gamma 60.00
loop_
_symmetry_equiv_pos_as_xyz
'x,y,z'
loop_
_atom_site_label
_atom_site_type_symbol
_atom_site_fract_x
_atom_site_fract_y
_atom_site_fract_z
_atom_site_occupancy
Cr1 Cr 0.750 0.750 0.750 1
Ru1 Ru 0.000 0.000 0.000 1
Co1 Co 0.500 0.500 0.500 1

(10)
# Cr5Co6Ru (PBE, relaxed)
# DFT total energy	-8.284	eV/atom
# total magnetic moment	0.0350	μB/atom
# calculated formation energy	0.0513	eV per atom
# symmetry	P2/m
data_Cr5Co6Ru
_chemical_formula_sum 'Cr5 Co6 Ru1'
_symmetry_space_group_name_H-M 'P 1'
_symmetry_Int_Tables_number 1
_cell_length_a 4.368
_cell_length_b 4.982
_cell_length_c 6.131
_cell_angle_alpha 90.00
_cell_angle_beta 88.91
_cell_angle_gamma 90.00
loop_
_symmetry_equiv_pos_as_xyz
'x,y,z'
loop_
_atom_site_label
_atom_site_type_symbol
_atom_site_fract_x
_atom_site_fract_y
_atom_site_fract_z
_atom_site_occupancy
Cr1 Cr 0.668 0.000 0.335 1
Co1 Co 0.828 0.749 0.663 1
Cr2 Cr 0.335 0.500 0.664 1
Co2 Co 0.500 0.748 0.000 1
Co3 Co 0.828 0.251 0.663 1
Cr3 Cr 0.665 0.500 0.336 1
Co4 Co 0.172 0.749 0.337 1
Co5 Co 0.172 0.251 0.337 1
Cr4 Cr 0.332 0.000 0.665 1
Co6 Co 0.500 0.252 0.000 1
Cr5 Cr 0.000 0.500 0.000 1
Ru1 Ru 0.000 0.000 0.000 1

(11)
# CrCoRu (PBE, relaxed)
# energy above the lowest structure with this stoichiometry	0.2650	eV per atom
# DFT total energy	-8.355	eV/atom
# total magnetic moment	0.7109	μB/atom
# calculated formation energy	0.3135	eV per atom
# symmetry	Fmm2
data_CrCoRu
_chemical_formula_sum 'Cr1 Co1 Ru1'
_symmetry_space_group_name_H-M 'P 1'
_symmetry_Int_Tables_number 1
_cell_length_a 6.515
_cell_length_b 6.328
_cell_length_c 2.559
_cell_angle_alpha 82.63
_cell_angle_beta 74.44
_cell_angle_gamma 22.93
loop_
_symmetry_equiv_pos_as_xyz
'x,y,z'
loop_
_atom_site_label
_atom_site_type_symbol
_atom_site_fract_x
_atom_site_fract_y
_atom_site_fract_z
_atom_site_occupancy
Ru1 Ru 0.670 0.670 0.330 1
Cr1 Cr 0.337 0.337 0.663 1
Co1 Co 0.993 0.993 0.007 1

(12)
# CrCoRu2 (PBE, relaxed)
# energy above the lowest structure with this stoichiometry	0.0506	eV per atom
# DFT total energy	-8.705	eV/atom
# total magnetic moment	0.0009	μB/atom
# calculated formation energy	0.1149	eV per atom
# symmetry	Pmm2
data_CrCoRu2
_chemical_formula_sum 'Cr1 Co1 Ru2'
_symmetry_space_group_name_H-M 'P 1'
_symmetry_Int_Tables_number 1
_cell_length_a 2.639
_cell_length_b 3.646
_cell_length_c 5.233
_cell_angle_alpha 90.00
_cell_angle_beta 90.00
_cell_angle_gamma 90.00
loop_
_symmetry_equiv_pos_as_xyz
'x,y,z'
loop_
_atom_site_label
_atom_site_type_symbol
_atom_site_fract_x
_atom_site_fract_y
_atom_site_fract_z
_atom_site_occupancy
Ru1 Ru 0.000 0.000 0.995 1
Cr1 Cr 0.500 0.500 0.729 1
Co1 Co 0.000 0.000 0.511 1
Ru2 Ru 0.500 0.500 0.265 1

(13)
# CrCoRu2 (PBE, relaxed)
# energy above the lowest structure with this stoichiometry	0.0344	eV per atom
# DFT total energy	-8.722	eV/atom
# total magnetic moment	0.0012	μB/atom
# calculated formation energy	0.0987	eV per atom
# symmetry	I4/mmm
data_CrCoRu2
_chemical_formula_sum 'Cr1 Co1 Ru2'
_symmetry_space_group_name_H-M 'P 1'
_symmetry_Int_Tables_number 1
_cell_length_a 4.442
_cell_length_b 4.442
_cell_length_c 4.442
_cell_angle_alpha 130.00
_cell_angle_beta 130.00
_cell_angle_gamma 73.41
loop_
_symmetry_equiv_pos_as_xyz
'x,y,z'
loop_
_atom_site_label
_atom_site_type_symbol
_atom_site_fract_x
_atom_site_fract_y
_atom_site_fract_z
_atom_site_occupancy
Co1 Co 0.250 0.750 0.500 1
Ru1 Ru 0.000 0.000 0.000 1
Cr1 Cr 0.750 0.250 0.500 1
Ru2 Ru 0.500 0.500 0.000 1